Below is crystalline MnSiAs2 at its relaxed geometry, with properties calculated at the PBE level.

```
data_MnSiAs2
_chemical_formula_sum 'Mn2 Si2 As4'
_symmetry_space_group_name_H-M 'I m m 2'
_symmetry_Int_Tables_number 44
_symmetry_space_group_name_Hall 'I 2 -2'
_cell_length_a 3.3977
_cell_length_b 3.3986
_cell_length_c 12.0789
_cell_angle_alpha 90.00
_cell_angle_beta 90.00
_cell_angle_gamma 90.00
loop_
_atom_site_label
_atom_site_type_symbol
_atom_site_fract_x
_atom_site_fract_y
_atom_site_fract_z
Mn1 Mn 0.0000 0.0000 0.0000
Si1 Si 0.0000 0.5000 0.7396
As1 As 0.0000 0.0000 0.4188
As2 As 0.0000 0.5000 0.1623
```

The calculation puts the formation energy from raw total energies at 199 meV per atom. Its volume is 69.7 Å³/f.u.